[1]
Here is a geometry-optimized BIr2S structure from the Alexandria database. Energies are from PBE-GGA.

Lattice parameters (Å, degrees): 4.893 4.893 10.314 90.00 90.00 90.00
Space group I-42d (No. 122)
One atom of each set of equivalent atoms:
B 0.000 0.000 0.000
Ir 0.208 0.250 0.125
S 0.000 0.000 0.500

Results
offset from the most stable computed form: 0.00 eV per formula unit
DOS(E_F): 0.29 states/eV per atom

[2]
Here is a geometry-optimized ThSeCl structure from the Alexandria database. Energies are from PBE-GGA.

Lattice parameters (Å, degrees): 4.123 5.802 8.952 90.00 99.79 90.00
Space group P2_1/m (No. 11)
One atom of each set of equivalent atoms:
Th 0.207 0.250 0.384
Se 0.202 0.750 0.370
Cl 0.373 0.750 0.833

Results
offset from the most stable computed form: 0.01 eV per formula unit
DOS(E_F): 0.71 states/eV per atom

[3]
Here is a geometry-optimized Y2CuCl structure from the Alexandria database. Energies are from PBE-GGA.

Lattice parameters (Å, degrees): 3.363 3.363 8.016 90.00 90.00 90.00
Space group P4/mmm (No. 123)
One atom of each set of equivalent atoms:
Y 0.000 0.000 0.219
Cu 0.500 0.500 0.000
Cl 0.500 0.500 0.500

Results
offset from the most stable computed form: 0.64 eV per formula unit
DOS(E_F): 0.70 states/eV per atom

Values of raw total energy, in order: -114.1 -36.2 -21.3, all in eV for the cell shown.
Values of energy relative to the elements, uncorrected, in order: 0.01 -5.34 -2.44, all in eV/f.u..
Values of magnetic moment, in order: 0.00 0.00 0.35, all in Bohr magnetons per cell.